[1]
PmPu2PaSb4: relaxed, GGA-PBE.

Calculated values
ΔE_f (raw) ... -566 kJ/mol of formula units
Final energy ... -8.16 eV per atom
Crystal system ... monoclinic
V ... 30.78 A^3/atom
M_tot ... 1.450 μB per atom

Cell lengths 7.657, 4.439, 7.685 Å; angles 90.00, 109.50, 90.00 degrees
Space group P2/m (No. 10)
Asymmetric unit:
Pm: 0.000 0.000 0.000
Pu: 0.500 0.000 0.500
Pu: 0.500 0.500 0.000
Pa: 0.000 0.500 0.500
Sb: 0.247 0.000 0.744
Sb: 0.251 0.500 0.256


[2]
HoErSe: relaxed, GGA-PBE.

Calculated values
ΔE_f (raw) ... -275 kJ/mol of formula units
Final energy ... -5.16 eV per atom
Crystal system ... tetragonal
V ... 25.77 A^3/atom
M_tot ... 0.000 μB per atom

Cell lengths 3.570, 3.570, 12.131 Å; angles 90.00, 90.00, 90.00 degrees
Space group I4mm (No. 107)
Asymmetric unit:
Ho: 0.000 0.000 0.000
Er: 0.000 0.000 0.293
Se: 0.000 0.000 0.647


[3]
LiMnNi2: relaxed, GGA-PBE.

Calculated values
ΔH_f (0 K) ... 29 kJ/mol of formula units
Final energy ... -5.59 eV per atom
Crystal system ... monoclinic
V ... 11.83 A^3/atom
M_tot ... 1.149 μB per atom

Cell lengths 8.302, 2.645, 4.415 Å; angles 90.00, 102.69, 90.00 degrees
Space group C2/m (No. 12)
Asymmetric unit:
Li: 0.000 0.000 0.000
Mn: 0.000 0.500 0.500
Ni: 0.247 0.000 0.752


[4]
SrTc2Mo: relaxed, GGA-PBE.

Calculated values
ΔH_f (0 K) ... 327 kJ/mol of formula units
Final energy ... -7.46 eV per atom
Crystal system ... orthorhombic
V ... 18.93 A^3/atom
M_tot ... 0.000 μB per atom

Cell lengths 3.134, 5.216, 9.265 Å; angles 90.00, 90.00, 90.00 degrees
Space group Immm (No. 71)
Asymmetric unit:
Sr: 0.000 0.000 0.000
Tc: 0.000 0.500 0.218
Mo: 0.000 0.000 0.500


[5]
Li8Sn3Hg2: relaxed, GGA-PBE.

Calculated values
ΔH_f (0 K) ... -295 kJ/mol of formula units
Final energy ... -2.38 eV per atom
Crystal system ... trigonal
V ... 20.14 A^3/atom
M_tot ... 0.000 μB per atom

Cell lengths 5.5409, 5.5409, 29.5365 Å; angles 90.00, 90.00, 120.00 degrees
Space group R-3m (No. 166, hexagonal axes)
Asymmetric unit:
Li: 0.0000 0.0000 0.2202
Li: 0.0067 0.5033 0.2743
Sn: 0.0000 0.0000 0.3152
Sn: 0.0000 0.0000 0.5000
Hg: 0.0000 0.0000 0.1295


[6]
AgSbPt2: relaxed, GGA-PBE.

Calculated values
ΔE_f (raw) ... -12 kJ/mol of formula units
Final energy ... -4.79 eV per atom
Crystal system ... monoclinic
V ... 18.08 A^3/atom
M_tot ... 0.000 μB per atom

Cell lengths 4.644, 3.315, 4.980 Å; angles 90.00, 109.31, 90.00 degrees
Space group P2/m (No. 10)
Asymmetric unit:
Ag: 0.000 0.000 0.000
Sb: 0.000 0.500 0.500
Pt: 0.500 0.000 0.500
Pt: 0.500 0.500 0.000